1.
Compound: Fe2PtAu
Source: Alexandria
Functional: PBE-GGA
Structure: relaxed

Computed properties:
Space-group type: No. 8
Raw total energy (eV per atom): -6.592

Cell lengths 9.1603, 2.7825, 4.7282 Å; angles 90.00, 104.46, 90.00 degrees
With the nearest neighbours (Å) after each atom.
Fractional coordinates of all 8 atoms:
Fe 0.0000 0.0000 0.0000  4 Fe 2.53-2.78, 3 Pt 2.65-2.71, 4 Au 2.74-2.76
Fe 0.2230 0.5000 0.2661  4 Fe 2.53-2.78, 3 Au 2.68-2.71, 4 Pt 2.70-2.81
Fe 0.5000 0.5000 0.0000  4 Fe 2.53-2.78, 3 Pt 2.65-2.71, 4 Au 2.74-2.76
Fe 0.7230 0.0000 0.2661  4 Fe 2.53-2.78, 3 Au 2.68-2.71, 4 Pt 2.70-2.81
Pt 0.2501 0.0000 0.7933  7 Fe 2.65-2.81, 2 Pt 2.78, 3 Au 2.84-2.89
Pt 0.7501 0.5000 0.7933  7 Fe 2.65-2.81, 2 Pt 2.78, 3 Au 2.84-2.89
Au 0.4802 0.0000 0.4874  7 Fe 2.68-2.76, 2 Au 2.78, 3 Pt 2.84-2.89
Au 0.9802 0.5000 0.4874  7 Fe 2.68-2.76, 2 Au 2.78, 3 Pt 2.84-2.89



2.
Compound: FePtAu2
Source: Alexandria
Functional: PBE-GGA
Structure: relaxed

Computed properties:
Space-group type: No. 119
Raw total energy (eV per atom): -5.238

Cell lengths 3.9922, 3.9922, 8.0918 Å; angles 90.00, 90.00, 90.00 degrees
With the nearest neighbours (Å) after each atom.
Fractional coordinates of all 8 atoms:
Fe 0.0000 0.0000 0.0000  8 Au 2.82-2.84, 4 Pt 2.84
Fe 0.5000 0.5000 0.5000  8 Au 2.82-2.84, 4 Pt 2.84
Pt 0.0000 0.5000 0.7500  8 Au 2.82-2.84, 4 Fe 2.84
Pt 0.5000 0.0000 0.2500  8 Au 2.82-2.84, 4 Fe 2.84
Au 0.0000 0.0000 0.5000  4 Fe 2.82, 4 Pt 2.84, 4 Au 2.84
Au 0.0000 0.5000 0.2500  4 Pt 2.82, 4 Fe 2.84, 4 Au 2.84
Au 0.5000 0.0000 0.7500  4 Pt 2.82, 4 Fe 2.84, 4 Au 2.84
Au 0.5000 0.5000 0.0000  4 Fe 2.82, 4 Pt 2.84, 4 Au 2.84



3.
Compound: Fe2PtAu
Source: Alexandria
Functional: PBE-GGA
Structure: relaxed

Computed properties:
Space-group type: No. 122
Raw total energy (eV per atom): -6.211

Cell lengths 6.9977, 6.9977, 5.3283 Å; angles 90.00, 90.00, 90.00 degrees
With the nearest neighbours (Å) after each atom.
Fractional coordinates of all 16 atoms:
Fe 0.2344 0.2500 0.1250  2 Pt 2.49, 2 Au 2.64, 2 Fe 2.67
Fe 0.2500 0.7344 0.3750  2 Pt 2.49, 2 Au 2.64, 2 Fe 2.67
Fe 0.2500 0.7656 0.8750  2 Pt 2.49, 2 Au 2.64, 2 Fe 2.67
Fe 0.2656 0.2500 0.6250  2 Pt 2.49, 2 Au 2.64, 2 Fe 2.67
Fe 0.7344 0.7500 0.6250  2 Pt 2.49, 2 Au 2.64, 2 Fe 2.67
Fe 0.7500 0.2344 0.8750  2 Pt 2.49, 2 Au 2.64, 2 Fe 2.67
Fe 0.7500 0.2656 0.3750  2 Pt 2.49, 2 Au 2.64, 2 Fe 2.67
Fe 0.7656 0.7500 0.1250  2 Pt 2.49, 2 Au 2.64, 2 Fe 2.67
Pt 0.0000 0.0000 0.0000  4 Fe 2.49, 2 Au 2.66
Pt 0.0000 0.5000 0.2500  4 Fe 2.49, 2 Au 2.66
Pt 0.5000 0.0000 0.7500  4 Fe 2.49, 2 Au 2.66
Pt 0.5000 0.5000 0.5000  4 Fe 2.49, 2 Au 2.66
Au 0.0000 0.0000 0.5000  4 Fe 2.64, 2 Pt 2.66
Au 0.0000 0.5000 0.7500  4 Fe 2.64, 2 Pt 2.66
Au 0.5000 0.0000 0.2500  4 Fe 2.64, 2 Pt 2.66
Au 0.5000 0.5000 0.0000  4 Fe 2.64, 2 Pt 2.66



4.
Compound: Fe2Pt2Au
Source: Alexandria
Functional: PBE-GGA
Structure: relaxed

Computed properties:
Space-group type: No. 127
Raw total energy (eV per atom): -6.183

Cell lengths 7.3236, 7.3236, 2.6978 Å; angles 90.00, 90.00, 90.00 degrees
With the nearest neighbours (Å) after each atom.
Fractional coordinates of all 10 atoms:
Fe 0.1119 0.3881 0.0000  1 Fe 2.32, 6 Pt 2.54-2.58
Fe 0.3881 0.8881 0.0000  1 Fe 2.32, 6 Pt 2.54-2.58
Fe 0.6119 0.1119 0.0000  1 Fe 2.32, 6 Pt 2.54-2.58
Fe 0.8881 0.6119 0.0000  1 Fe 2.32, 6 Pt 2.54-2.58
Pt 0.1799 0.6799 0.5000  6 Fe 2.54-2.58, 2 Pt 2.70
Pt 0.3201 0.1799 0.5000  6 Fe 2.54-2.58, 2 Pt 2.70
Pt 0.6799 0.8201 0.5000  6 Fe 2.54-2.58, 2 Pt 2.70
Pt 0.8201 0.3201 0.5000  6 Fe 2.54-2.58, 2 Pt 2.70
Au 0.0000 0.0000 0.0000  2 Au 2.70, 4 Fe 2.96, 8 Pt 3.01
Au 0.5000 0.5000 0.0000  2 Au 2.70, 4 Fe 2.96, 8 Pt 3.01



5.
Compound: FePtAu2
Source: Alexandria
Functional: PBE-GGA
Structure: relaxed

Computed properties:
Space-group type: No. 216
Raw total energy (eV per atom): -5.169

Cell lengths 6.3935, 6.3935, 6.3935 Å; angles 90.00, 90.00, 90.00 degrees
With the nearest neighbours (Å) after each atom.
Fractional coordinates of all 16 atoms:
Fe 0.0000 0.0000 0.0000  4 Pt 2.77, 4 Au 2.77
Fe 0.0000 0.5000 0.5000  4 Pt 2.77, 4 Au 2.77
Fe 0.5000 0.0000 0.5000  4 Pt 2.77, 4 Au 2.77
Fe 0.5000 0.5000 0.0000  4 Pt 2.77, 4 Au 2.77
Pt 0.2500 0.2500 0.7500  4 Fe 2.77, 4 Au 2.77
Pt 0.2500 0.7500 0.2500  4 Fe 2.77, 4 Au 2.77
Pt 0.7500 0.2500 0.2500  4 Fe 2.77, 4 Au 2.77
Pt 0.7500 0.7500 0.7500  4 Fe 2.77, 4 Au 2.77
Au 0.0000 0.0000 0.5000  4 Au 2.77, 4 Pt 2.77
Au 0.0000 0.5000 0.0000  4 Au 2.77, 4 Pt 2.77
Au 0.2500 0.2500 0.2500  4 Fe 2.77, 4 Au 2.77
Au 0.2500 0.7500 0.7500  4 Fe 2.77, 4 Au 2.77
Au 0.5000 0.0000 0.0000  4 Au 2.77, 4 Pt 2.77
Au 0.5000 0.5000 0.5000  4 Pt 2.77, 4 Au 2.77
Au 0.7500 0.2500 0.7500  4 Fe 2.77, 4 Au 2.77
Au 0.7500 0.7500 0.2500  4 Fe 2.77, 4 Au 2.77



6.
Compound: FePt6Au
Source: Alexandria
Functional: PBE-GGA
Structure: relaxed

Computed properties:
Space-group type: No. 123
Raw total energy (eV per atom): -6.091

Cell lengths 3.9689, 3.9689, 7.9290 Å; angles 90.00, 90.00, 90.00 degrees
With the nearest neighbours (Å) after each atom.
Fractional coordinates of all 8 atoms:
Fe 0.0000 0.0000 0.0000  12 Pt 2.74-2.81
Pt 0.0000 0.5000 0.2374  2 Fe 2.74, 8 Pt 2.74-2.88, 2 Au 2.88
Pt 0.0000 0.5000 0.7626  2 Fe 2.74, 8 Pt 2.74-2.88, 2 Au 2.88
Pt 0.5000 0.0000 0.2374  2 Fe 2.74, 8 Pt 2.74-2.88, 2 Au 2.88
Pt 0.5000 0.0000 0.7626  2 Fe 2.74, 8 Pt 2.74-2.88, 2 Au 2.88
Pt 0.5000 0.5000 0.0000  8 Pt 2.74, 4 Fe 2.81
Pt 0.5000 0.5000 0.5000  4 Au 2.81, 8 Pt 2.88
Au 0.0000 0.0000 0.5000  12 Pt 2.81-2.88



7.
Compound: Fe2Pt2Au
Source: Alexandria
Functional: PBE-GGA
Structure: relaxed

Computed properties:
Space-group type: No. 127
Raw total energy (eV per atom): -6.531

Cell lengths 7.4833, 7.4833, 2.7639 Å; angles 90.00, 90.00, 90.00 degrees
With the nearest neighbours (Å) after each atom.
Fractional coordinates of all 10 atoms:
Fe 0.1632 0.3368 0.0000  6 Pt 2.56-2.62, 2 Fe 2.76
Fe 0.3368 0.8368 0.0000  6 Pt 2.56-2.62, 2 Fe 2.76
Fe 0.6632 0.1632 0.0000  6 Pt 2.56-2.62, 2 Fe 2.76
Fe 0.8368 0.6632 0.0000  6 Pt 2.56-2.62, 2 Fe 2.76
Pt 0.1331 0.6331 0.5000  6 Fe 2.56-2.62, 3 Pt 2.76-2.82
Pt 0.3669 0.1331 0.5000  6 Fe 2.56-2.62, 3 Pt 2.76-2.82
Pt 0.6331 0.8669 0.5000  6 Fe 2.56-2.62, 3 Pt 2.76-2.82
Pt 0.8669 0.3669 0.5000  6 Fe 2.56-2.62, 3 Pt 2.76-2.82
Au 0.0000 0.0000 0.5000  2 Au 2.76, 4 Pt 2.92
Au 0.5000 0.5000 0.5000  2 Au 2.76, 4 Pt 2.92



8.
Compound: Fe2PtAu
Source: Alexandria
Functional: PBE-GGA
Structure: relaxed

Computed properties:
Space-group type: No. 119
Raw total energy (eV per atom): -6.550

Cell lengths 3.8657, 3.8657, 7.8160 Å; angles 90.00, 90.00, 90.00 degrees
With the nearest neighbours (Å) after each atom.
Fractional coordinates of all 8 atoms:
Fe 0.0000 0.0000 0.0000  4 Au 2.73, 4 Fe 2.75, 4 Pt 2.75
Fe 0.0000 0.5000 0.2500  4 Pt 2.73, 4 Fe 2.75, 4 Au 2.75
Fe 0.5000 0.0000 0.7500  4 Pt 2.73, 4 Au 2.75, 4 Fe 2.75
Fe 0.5000 0.5000 0.5000  4 Au 2.73, 4 Fe 2.75, 4 Pt 2.75
Pt 0.0000 0.5000 0.7500  8 Fe 2.73-2.75, 4 Au 2.75
Pt 0.5000 0.0000 0.2500  8 Fe 2.73-2.75, 4 Au 2.75
Au 0.0000 0.0000 0.5000  8 Fe 2.73-2.75, 4 Pt 2.75
Au 0.5000 0.5000 0.0000  8 Fe 2.73-2.75, 4 Pt 2.75



9.
Compound: Fe2PtAu
Source: Alexandria
Functional: PBE-GGA
Structure: relaxed

Computed properties:
Space-group type: No. 12
Raw total energy (eV per atom): -6.594

Cell lengths 5.4934, 7.6382, 2.7862 Å; angles 90.00, 90.19, 90.00 degrees
With the nearest neighbours (Å) after each atom.
Fractional coordinates of all 8 atoms:
Fe 0.2500 0.2500 0.0000  4 Pt 2.73-2.74, 4 Au 2.73-2.74, 4 Fe 2.75-2.79
Fe 0.2500 0.7500 0.0000  4 Pt 2.73-2.74, 4 Au 2.73-2.74, 4 Fe 2.75-2.79
Fe 0.7500 0.2500 0.0000  4 Pt 2.73-2.74, 4 Au 2.73-2.74, 4 Fe 2.75-2.79
Fe 0.7500 0.7500 0.0000  4 Pt 2.73-2.74, 4 Au 2.73-2.74, 4 Fe 2.75-2.79
Pt 0.0000 0.0000 0.5000  8 Fe 2.73-2.74, 2 Au 2.75, 2 Pt 2.79
Pt 0.5000 0.5000 0.5000  8 Fe 2.73-2.74, 2 Au 2.75, 2 Pt 2.79
Au 0.0000 0.5000 0.5000  8 Fe 2.73-2.74, 2 Pt 2.75, 2 Au 2.79
Au 0.5000 0.0000 0.5000  8 Fe 2.73-2.74, 2 Pt 2.75, 2 Au 2.79



10.
Compound: Fe4Pt5Au
Source: Alexandria
Functional: PBE-GGA
Structure: relaxed

Computed properties:
Space-group type: No. 123
Raw total energy (eV per atom): -6.933

Cell lengths 2.7505, 2.7505, 19.3302 Å; angles 90.00, 90.00, 90.00 degrees
With the nearest neighbours (Å) after each atom.
Fractional coordinates of all 10 atoms:
Fe 0.0000 0.0000 0.0968  8 Pt 2.70, 4 Fe 2.75
Fe 0.0000 0.0000 0.2907  8 Pt 2.66-2.70, 4 Fe 2.75
Fe 0.0000 0.0000 0.7093  8 Pt 2.66-2.70, 4 Fe 2.75
Fe 0.0000 0.0000 0.9032  8 Pt 2.70, 4 Fe 2.75
Pt 0.5000 0.5000 0.0000  8 Fe 2.70, 4 Pt 2.75
Pt 0.5000 0.5000 0.1935  8 Fe 2.70, 4 Pt 2.75
Pt 0.5000 0.5000 0.3843  4 Fe 2.66, 4 Pt 2.75, 4 Au 2.96
Pt 0.5000 0.5000 0.6157  4 Fe 2.66, 4 Pt 2.75, 4 Au 2.96
Pt 0.5000 0.5000 0.8065  8 Fe 2.70, 4 Pt 2.75
Au 0.0000 0.0000 0.5000  4 Au 2.75, 8 Pt 2.96



11.
Compound: Fe2PtAu
Source: Alexandria
Functional: PBE-GGA
Structure: relaxed

Computed properties:
Space-group type: No. 10
Raw total energy (eV per atom): -6.609

Cell lengths 2.7688, 3.8440, 5.5086 Å; angles 90.00, 90.11, 90.00 degrees
With the nearest neighbours (Å) after each atom.
Fractional coordinates of all 4 atoms:
Fe 0.0000 0.0000 0.2324  3 Fe 2.56-2.77, 4 Pt 2.69, 4 Au 2.79
Fe 0.0000 0.0000 0.7676  3 Fe 2.56-2.77, 4 Pt 2.69, 4 Au 2.79
Pt 0.5000 0.5000 0.0000  8 Fe 2.69, 2 Au 2.75, 2 Pt 2.77
Au 0.5000 0.5000 0.5000  2 Pt 2.75, 2 Au 2.77, 8 Fe 2.79



12.
Compound: V2FePtAu
Source: Alexandria
Functional: PBE-GGA
Structure: relaxed

Computed properties:
Space-group type: No. 123
Raw total energy (eV per atom): -5.484

Cell lengths 4.6205, 4.6205, 4.5353 Å; angles 90.00, 90.00, 90.00 degrees
With the nearest neighbours (Å) after each atom.
Fractional coordinates of all 5 atoms:
V 0.0000 0.5000 0.0000  2 Au 2.31
V 0.5000 0.0000 0.0000  2 Au 2.31
Fe 0.0000 0.0000 0.5000  2 Au 2.27
Pt 0.5000 0.5000 0.5000  8 V 3.24, 4 Fe 3.27
Au 0.0000 0.0000 0.0000  2 Fe 2.27, 4 V 2.31



13.
Compound: RbFe3Au
Source: Alexandria
Functional: PBE-GGA
Structure: relaxed

Computed properties:
Space-group type: No. 221
Raw total energy (eV per atom): -4.759

Cell lengths 4.9983, 4.9983, 4.9983 Å; angles 90.00, 90.00, 90.00 degrees
With the nearest neighbours (Å) after each atom.
Fractional coordinates of all 5 atoms:
Rb 0.0000 0.0000 0.0000  12 Fe 3.53
Fe 0.0000 0.5000 0.5000  2 Au 2.50
Fe 0.5000 0.0000 0.5000  2 Au 2.50
Fe 0.5000 0.5000 0.0000  2 Au 2.50
Au 0.5000 0.5000 0.5000  6 Fe 2.50



14.
Compound: RbFe3Au
Source: Alexandria
Functional: PBE-GGA
Structure: relaxed

Computed properties:
Space-group type: No. 221
Raw total energy (eV per atom): -3.471

Cell lengths 4.5904, 4.5904, 4.5904 Å; angles 90.00, 90.00, 90.00 degrees
With the nearest neighbours (Å) after each atom.
Fractional coordinates of all 5 atoms:
Rb 0.0000 0.0000 0.0000  6 Fe 2.30
Fe 0.0000 0.0000 0.5000  2 Rb 2.30
Fe 0.0000 0.5000 0.0000  2 Rb 2.30
Fe 0.5000 0.0000 0.0000  2 Rb 2.30
Au 0.5000 0.5000 0.5000  12 Fe 3.25